No. 1
Entry from Alexandria: a relaxed structure of CaSb3Rh3 (PBE).

Geometry as POSCAR:
```
CaSb3Rh3
1.0
7.194 0.000 0.000
0.000 7.194 0.000
0.000 0.000 7.194
Ca Sb Rh
2 6 6
Direct
0.000 0.000 0.000
0.500 0.500 0.500
0.000 0.250 0.500
0.000 0.750 0.500
0.250 0.500 0.000
0.500 0.000 0.250
0.500 0.000 0.750
0.750 0.500 0.000
0.000 0.500 0.250
0.000 0.500 0.750
0.250 0.000 0.500
0.500 0.250 0.000
0.500 0.750 0.000
0.750 0.000 0.500
```

Values from the calculation:
Raw formation energy in eV/atom: -0.223
DFT total energy in eV per formula unit: -37.99
Space group: Pm-3n, No. 223
Relative energy among the computed polymorphs in meV per atom: 234

No. 2
Entry from Alexandria: a relaxed structure of Pr2Ga3Cu (PBE).

Geometry as POSCAR:
```
Pr2Ga3Cu
1.0
3.880 0.000 0.000
0.000 4.454 0.000
0.000 0.000 7.718
Pr Ga Cu
2 3 1
Direct
0.000 0.000 0.000
0.000 0.500 0.496
0.500 0.000 0.655
0.500 0.500 0.172
0.500 0.500 0.834
0.500 0.000 0.328
```

Values from the calculation:
Formation enthalpy at 0 K in eV/atom: -0.56
DFT total energy in eV per formula unit: -26.09
Space group: Pmm2, No. 25
Relative energy among the computed polymorphs in meV per atom: 5

No. 3
Entry from Alexandria: a relaxed structure of LaNbTeI2 (PBE).

Geometry as POSCAR:
```
LaNbTeI2
1.0
6.152 0.000 0.000
0.000 6.152 0.000
0.000 0.000 6.259
La Nb Te I
1 1 1 2
Direct
0.000 0.000 0.000
0.500 0.500 0.500
0.000 0.000 0.500
0.000 0.500 0.000
0.500 0.000 0.000
```

Values from the calculation:
Raw formation energy in eV/atom: 0.200
DFT total energy in eV per formula unit: -20.24
Space group: P4/mmm, No. 123

No. 4
Entry from Alexandria: a relaxed structure of TbYMgBe (PBE).

Geometry as POSCAR:
```
TbYMgBe
1.0
0.000 3.611 3.611
3.611 0.000 3.611
3.611 3.611 0.000
Tb Y Mg Be
1 1 1 1
Direct
0.000 0.000 0.000
0.500 0.500 0.500
0.750 0.750 0.750
0.250 0.250 0.250
```

Values from the calculation:
Formation enthalpy at 0 K in eV/atom: 0.08
DFT total energy in eV per formula unit: -16.09
Space group: F-43m, No. 216

No. 5
Entry from Alexandria: a relaxed structure of BeAg2Au (PBE).

Geometry as POSCAR:
```
BeAg2Au
1.0
0.000 3.170 3.170
3.170 0.000 3.170
3.170 3.170 0.000
Be Ag Au
1 2 1
Direct
0.000 0.000 0.000
0.250 0.250 0.250
0.500 0.500 0.500
0.750 0.750 0.750
```

Values from the calculation:
Formation enthalpy at 0 K in eV/atom: 0.16
DFT total energy in eV per formula unit: -12.08
Space group: F-43m, No. 216

No. 6
Entry from Alexandria: a relaxed structure of PmInPb2Br8 (PBE).

Geometry as POSCAR:
```
PmInPb2Br8
1.0
6.918 0.000 0.000
0.000 9.273 0.000
-0.095 0.000 7.299
Pm In Pb Br
1 1 2 8
Direct
0.000 0.000 0.000
0.000 0.500 0.000
0.500 0.253 0.500
0.500 0.747 0.500
0.239 0.224 0.158
0.239 0.776 0.158
0.246 0.000 0.677
0.271 0.500 0.641
0.729 0.500 0.359
0.754 0.000 0.323
0.761 0.224 0.842
0.761 0.776 0.842
```

Values from the calculation:
Raw formation energy in eV/atom: -1.175
DFT total energy in eV per formula unit: -42.39
Space group: P2/m, No. 10

No. 7
Entry from Alexandria: a relaxed structure of PrPOsO (PBE).

Geometry as POSCAR:
```
PrPOsO
1.0
4.070 0.000 0.000
0.000 4.070 0.000
0.000 0.000 8.369
Pr P Os O
2 2 2 2
Direct
0.250 0.250 0.143
0.750 0.750 0.857
0.250 0.250 0.643
0.750 0.750 0.357
0.250 0.750 0.500
0.750 0.250 0.500
0.250 0.750 0.000
0.750 0.250 0.000
```

Values from the calculation:
Raw formation energy in eV/atom: -1.812
DFT total energy in eV per formula unit: -33.63
Space group: P4/nmm, No. 129

No. 8
Entry from Alexandria: a relaxed structure of Pm4Ge2C (PBE).

Geometry as POSCAR:
```
Pm4Ge2C
1.0
7.461 0.000 0.000
0.000 11.953 0.000
0.000 0.000 4.159
Pm Ge C
8 4 2
Direct
0.120 0.197 0.000
0.222 0.950 0.500
0.278 0.450 0.500
0.380 0.697 0.000
0.620 0.303 0.000
0.722 0.550 0.500
0.778 0.050 0.500
0.880 0.803 0.000
0.091 0.682 0.500
0.409 0.182 0.500
0.591 0.818 0.500
0.909 0.318 0.500
0.000 0.000 0.000
0.500 0.500 0.000
```

Values from the calculation:
Formation enthalpy at 0 K in eV/atom: -0.47
DFT total energy in eV per formula unit: -40.75
Space group: Pbam, No. 55
Relative energy among the computed polymorphs in meV per atom: 64

No. 9
Entry from Alexandria: a relaxed structure of Ge2IBr2 (PBE).

Geometry as POSCAR:
```
Ge2IBr2
1.0
7.943 0.000 0.000
0.000 7.943 0.000
0.000 0.000 4.369
Ge I Br
4 2 4
Direct
0.122 0.378 0.000
0.378 0.878 0.000
0.622 0.122 0.000
0.878 0.622 0.000
0.000 0.000 0.000
0.500 0.500 0.000
0.150 0.650 0.500
0.350 0.150 0.500
0.650 0.850 0.500
0.850 0.350 0.500
```

Values from the calculation:
Raw formation energy in eV/atom: -0.063
DFT total energy in eV per formula unit: -14.45
Space group: P4/mbm, No. 127

No. 10
Entry from Alexandria: a relaxed structure of Ca2YAl2 (PBE).

Geometry as POSCAR:
```
Ca2YAl2
1.0
8.400 0.000 0.000
0.000 8.400 0.000
0.000 0.000 4.024
Ca Y Al
4 2 4
Direct
0.176 0.324 0.000
0.324 0.824 0.000
0.676 0.176 0.000
0.824 0.676 0.000
0.000 0.000 0.500
0.500 0.500 0.500
0.120 0.620 0.500
0.380 0.120 0.500
0.620 0.880 0.500
0.880 0.380 0.500
```

Values from the calculation:
Formation enthalpy at 0 K in eV/atom: -0.14
DFT total energy in eV per formula unit: -18.64
Space group: P4/mbm, No. 127
Relative energy among the computed polymorphs in meV per atom: 0

No. 11
Entry from Alexandria: a relaxed structure of AcNd2Tm (PBE).

Geometry as POSCAR:
```
AcNd2Tm
1.0
3.737 0.000 0.000
0.000 3.737 0.000
0.000 0.000 10.394
Ac Nd Tm
1 2 1
Direct
0.000 0.000 0.000
0.500 0.500 0.266
0.500 0.500 0.734
0.000 0.000 0.500
```

Values from the calculation:
Formation enthalpy at 0 K in eV/atom: 0.05
DFT total energy in eV per formula unit: -17.93
Space group: P4/mmm, No. 123
Relative energy among the computed polymorphs in meV per atom: 11

No. 12
Entry from Alexandria: a relaxed structure of HgTe2Br (PBE).

Geometry as POSCAR:
```
HgTe2Br
1.0
6.135 -1.990 0.000
6.135 1.990 0.000
-0.705 0.000 6.152
Hg Te Br
1 2 1
Direct
0.000 0.000 0.000
0.330 0.330 0.113
0.670 0.670 0.887
0.500 0.500 0.500
```

Values from the calculation:
Raw formation energy in eV/atom: -0.018
DFT total energy in eV per formula unit: -8.33
Space group: C2/m, No. 12
Relative energy among the computed polymorphs in meV per atom: 93

No. 13
Entry from Alexandria: a relaxed structure of LiGaCu5 (PBE).

Geometry as POSCAR:
```
LiGaCu5
1.0
3.588 -2.597 0.000
3.588 2.597 0.000
0.000 0.000 9.904
Li Ga Cu
2 2 10
Direct
0.135 0.865 0.750
0.865 0.135 0.250
0.500 0.500 0.000
0.500 0.500 0.500
0.068 0.363 0.615
0.068 0.363 0.885
0.363 0.068 0.115
0.363 0.068 0.385
0.410 0.590 0.250
0.590 0.410 0.750
0.637 0.932 0.615
0.637 0.932 0.885
0.932 0.637 0.115
0.932 0.637 0.385
```

Values from the calculation:
Formation enthalpy at 0 K in eV/atom: -0.01
DFT total energy in eV per formula unit: -25.49
Space group: Cmcm, No. 63
Relative energy among the computed polymorphs in meV per atom: 0

No. 14
Entry from Alexandria: a relaxed structure of CsI2O7 (PBE).

Geometry as POSCAR:
```
CsI2O7
1.0
3.106 -5.703 0.000
3.106 5.703 0.000
0.000 0.000 4.018
Cs I O
1 2 7
Direct
0.000 0.000 0.000
0.314 0.686 0.500
0.686 0.314 0.500
0.036 0.337 0.500
0.314 0.686 0.000
0.337 0.036 0.500
0.500 0.500 0.500
0.663 0.964 0.500
0.686 0.314 0.000
0.964 0.663 0.500
```

Values from the calculation:
Raw formation energy in eV/atom: -0.147
DFT total energy in eV per formula unit: -40.13
Space group: Cmmm, No. 65

No. 15
Entry from Alexandria: a relaxed structure of Dy3YAg2 (PBE).

Geometry as POSCAR:
```
Dy3YAg2
1.0
3.620 0.000 0.000
0.000 3.620 0.000
0.000 0.000 12.285
Dy Y Ag
3 1 2
Direct
0.000 0.000 0.000
0.000 0.000 0.297
0.000 0.000 0.703
0.500 0.500 0.500
0.500 0.500 0.149
0.500 0.500 0.851
```

Values from the calculation:
Formation enthalpy at 0 K in eV/atom: -0.20
DFT total energy in eV per formula unit: -27.18
Space group: P4/mmm, No. 123
Relative energy among the computed polymorphs in meV per atom: 0

No. 16
Entry from Alexandria: a relaxed structure of Dy7Cu2Ir2 (PBE).

Geometry as POSCAR:
```
Dy7Cu2Ir2
1.0
3.911 -5.325 0.000
3.911 5.325 0.000
0.000 0.000 7.023
Dy Cu Ir
7 2 2
Direct
0.000 0.000 0.000
0.000 0.500 0.262
0.000 0.500 0.738
0.500 0.000 0.262
0.500 0.000 0.738
0.500 0.500 0.255
0.500 0.500 0.745
0.179 0.179 0.500
0.821 0.821 0.500
0.289 0.711 0.000
0.711 0.289 0.000
```

Values from the calculation:
Formation enthalpy at 0 K in eV/atom: -0.29
DFT total energy in eV per formula unit: -61.35
Space group: Cmmm, No. 65

No. 17
Entry from Alexandria: a relaxed structure of Al6Cu2Ni (PBE).

Geometry as POSCAR:
```
Al6Cu2Ni
1.0
6.402 -2.891 0.000
6.402 2.891 0.000
-1.277 0.000 3.855
Al Cu Ni
6 2 1
Direct
0.082 0.590 0.337
0.241 0.759 0.000
0.410 0.918 0.663
0.590 0.082 0.337
0.759 0.241 0.000
0.918 0.410 0.663
0.334 0.334 0.834
0.666 0.666 0.166
0.000 0.000 0.500
```

Values from the calculation:
Formation enthalpy at 0 K in eV/atom: -0.28
DFT total energy in eV per formula unit: -38.93
Space group: C2/m, No. 12

No. 18
Entry from Alexandria: a relaxed structure of MnIn3S (PBE).

Geometry as POSCAR:
```
MnIn3S
1.0
5.128 0.000 0.000
0.000 5.128 0.000
0.000 0.000 5.128
Mn In S
1 3 1
Direct
0.000 0.000 0.000
0.000 0.000 0.500
0.000 0.500 0.000
0.500 0.000 0.000
0.500 0.500 0.500
```

Values from the calculation:
Raw formation energy in eV/atom: 0.367
DFT total energy in eV per formula unit: -19.68
Space group: Pm-3m, No. 221
Relative energy among the computed polymorphs in meV per atom: 0

No. 19
Entry from Alexandria: a relaxed structure of ScBeTe2C (PBE).

Geometry as POSCAR:
```
ScBeTe2C
1.0
5.210 0.000 0.000
0.000 5.210 0.000
0.000 0.000 3.458
Sc Be Te C
1 1 2 1
Direct
0.000 0.000 0.000
0.500 0.500 0.000
0.000 0.500 0.500
0.500 0.000 0.500
0.500 0.500 0.500
```

Values from the calculation:
Raw formation energy in eV/atom: 0.192
DFT total energy in eV per formula unit: -24.60
Space group: P4/mmm, No. 123

No. 20
Entry from Alexandria: a relaxed structure of NpS2I (PBE).

Geometry as POSCAR:
```
NpS2I
1.0
1.958 1.131 10.283
-1.958 1.131 10.283
0.000 -2.261 10.283
Np S I
1 2 1
Direct
0.000 0.000 0.000
0.288 0.288 0.288
0.712 0.712 0.712
0.500 0.500 0.500
```

Values from the calculation:
Raw formation energy in eV/atom: -0.779
DFT total energy in eV per formula unit: -25.86
Space group: R-3m, No. 166
Relative energy among the computed polymorphs in meV per atom: 42